Sr3LaC2N4F5 | meta-GGA SCAN | single point on PBEsol structure

ΔE_f (raw) ... -2.5916 eV per atom
M_tot ... 0.00 μB per cell

Structure (POSCAR):
```
Sr3LaC2N4F5
1.0
3.257 -5.767 0.000
3.257 5.767 0.000
-3.235 0.000 5.632
Sr La C N F
3 1 2 4 5
direct
0.000 0.000 0.000 Sr
0.170 0.485 0.667 Sr
0.485 0.170 0.667 Sr
0.667 0.667 0.333 La
0.057 0.560 0.174 C
0.560 0.057 0.174 C
0.218 0.540 0.291 N
0.540 0.218 0.291 N
0.579 0.895 0.060 N
0.895 0.579 0.060 N
0.074 0.074 0.411 F
0.077 0.797 0.661 F
0.340 0.340 0.929 F
0.587 0.587 0.661 F
0.797 0.077 0.661 F
```

MgTl2Au | meta-GGA SCAN | single point on PBEsol structure

Energy relative to the elements ... -35 meV/atom
M_tot ... 0.00 μB per cell

Structure (POSCAR):
```
MgTl2Au
1.0
7.135 0.000 0.000
0.000 7.135 0.000
0.000 0.000 7.135
Mg Tl Au
4 8 4
direct
0.000 0.000 0.000 Mg
0.000 0.500 0.500 Mg
0.500 0.000 0.500 Mg
0.500 0.500 0.000 Mg
0.000 0.000 0.500 Tl
0.000 0.500 0.000 Tl
0.250 0.250 0.250 Tl
0.250 0.750 0.750 Tl
0.500 0.000 0.000 Tl
0.500 0.500 0.500 Tl
0.750 0.250 0.750 Tl
0.750 0.750 0.250 Tl
0.250 0.250 0.750 Au
0.250 0.750 0.250 Au
0.750 0.250 0.250 Au
0.750 0.750 0.750 Au
```

LaCo2Rh | meta-GGA SCAN | single point on PBEsol structure

Energy relative to the elements ... 71 meV/atom
M_tot ... 3.99 μB per cell

Structure (POSCAR):
```
LaCo2Rh
1.0
3.012 0.000 0.000
0.000 3.012 0.000
0.000 0.000 6.912
La Co Rh
1 2 1
direct
0.000 0.000 0.000 La
0.000 0.000 0.524 Co
0.500 0.500 0.680 Co
0.500 0.500 0.312 Rh
```

Cs3OsS | meta-GGA SCAN | single point on PBEsol structure

ΔE_f (raw) ... 0.7599 eV per atom
M_tot ... 0.59 μB per cell

Structure (POSCAR):
```
Cs3OsS
1.0
5.578 0.000 0.000
0.000 5.578 0.000
0.000 0.000 5.578
Cs Os S
3 1 1
direct
0.000 0.000 0.500 Cs
0.000 0.500 0.000 Cs
0.500 0.000 0.000 Cs
0.000 0.000 0.000 Os
0.500 0.500 0.500 S
```